The following is a SCAN calculation of a crystal of CaNiSb2 relaxed with PBEsol, from Alexandria via LeMat-Bulk.

Lattice parameters (Å, degrees): 4.109 4.529 4.529 90.00 90.00 90.00
Element x y z (fractional)
Sb 0.000 0.500 0.000
Sb 0.000 0.000 0.500
Ca 0.500 0.500 0.500
Ni 0.500 0.000 0.000

## Properties
The value obtained for the calculated volume is 84.3 Å³/cell. For the theoretical density, the calculation gives 6.744 g cm⁻³. The value obtained for the total DFT energy (no corrections) is -101.0 eV for the cell shown.

The following is a SCAN calculation of a crystal of SbP2Cl relaxed with PBEsol, from Alexandria via LeMat-Bulk.

Lattice parameters (Å, degrees): 4.681 4.681 4.681 60.00 60.00 60.00
Element x y z (fractional)
Sb 0.250 0.250 0.250
P 0.000 0.000 0.000
P 0.750 0.750 0.750
Cl 0.500 0.500 0.500

## Properties
The value obtained for the calculated volume is 72.5 Å³/cell. For the theoretical density, the calculation gives 5.019 g cm⁻³. The value obtained for the total DFT energy (no corrections) is -63.5 eV for the cell shown.

The following is a SCAN calculation of a crystal of Y2TlOs relaxed with PBEsol, from Alexandria via LeMat-Bulk.

Lattice parameters (Å, degrees): 3.401 3.401 7.874 90.00 90.00 90.00
Element x y z (fractional)
Y 0.000 0.000 0.708
Y 0.000 0.000 0.292
Tl 0.500 0.500 0.000
Os 0.500 0.500 0.500

## Properties
The value obtained for the calculated volume is 91.1 Å³/cell. The formation energy is -0.4937 eV per atom. For the theoretical density, the calculation gives 10.439 g cm⁻³. The value obtained for the total DFT energy (no corrections) is -201.9 eV for the cell shown.

The following is a SCAN calculation of a crystal of La2SbF2 relaxed with PBEsol, from Alexandria via LeMat-Bulk.

Lattice parameters (Å, degrees): 3.982 3.982 7.262 105.91 105.91 90.00
Element x y z (fractional)
F 0.250 0.750 0.500
F 0.750 0.250 0.500
La 0.632 0.632 0.264
La 0.368 0.368 0.736
Sb 0.000 0.000 0.000

## Properties
The value obtained for the calculated volume is 106.1 Å³/cell. For the theoretical density, the calculation gives 6.847 g cm⁻³. The value obtained for the total DFT energy (no corrections) is -145.1 eV for the cell shown.

The following is a SCAN calculation of a crystal of NaZnAs relaxed with PBEsol, from Alexandria via LeMat-Bulk.

Lattice parameters (Å, degrees): 4.120 4.120 7.043 90.00 90.00 90.00
Element x y z (fractional)
Zn 0.000 0.000 0.000
Zn 0.500 0.500 0.000
As 0.500 0.000 0.782
As 0.000 0.500 0.218
Na 0.000 0.500 0.649
Na 0.500 0.000 0.351

## Properties
The value obtained for the calculated volume is 119.6 Å³/cell. The formation energy is -0.4969 eV per atom. For the theoretical density, the calculation gives 4.536 g cm⁻³. The value obtained for the total DFT energy (no corrections) is -78.8 eV for the cell shown.

The following is a SCAN calculation of a crystal of SbMo3Rh relaxed with PBEsol, from Alexandria via LeMat-Bulk.

Lattice parameters (Å, degrees): 4.656 4.656 4.656 90.00 90.00 90.00
Element x y z (fractional)
Rh 0.000 0.000 0.000
Mo 0.500 0.000 0.000
Mo 0.000 0.000 0.500
Mo 0.000 0.500 0.000
Sb 0.500 0.500 0.500

## Properties
The value obtained for the calculated volume is 101.0 Å³/cell. For the theoretical density, the calculation gives 8.429 g cm⁻³. The value obtained for the total DFT energy (no corrections) is -168.1 eV for the cell shown.

The following is a SCAN calculation of a crystal of MoIr3O relaxed with PBEsol, from Alexandria via LeMat-Bulk.

Lattice parameters (Å, degrees): 4.088 4.088 4.088 90.00 90.00 90.00
Element x y z (fractional)
Ir 0.500 0.000 0.000
Ir 0.000 0.000 0.500
Ir 0.000 0.500 0.000
Mo 0.500 0.500 0.500
O 0.000 0.000 0.000

## Properties
The value obtained for the calculated volume is 68.3 Å³/cell. For the theoretical density, the calculation gives 16.740 g cm⁻³. The value obtained for the total DFT energy (no corrections) is -249.9 eV for the cell shown.

The following is a SCAN calculation of a crystal of TaSiNi6 relaxed with PBEsol, from Alexandria via LeMat-Bulk.

Lattice parameters (Å, degrees): 6.149 6.149 10.043 90.00 90.00 109.90
Element x y z (fractional)
Ni 0.120 0.367 0.129
Ni 0.633 0.880 0.871
Ni 0.119 0.371 0.378
Ni 0.633 0.880 0.129
Ni 0.500 0.500 0.000
Ni 0.000 0.000 0.000
Ni 0.371 0.119 0.378
Ni 0.000 0.000 0.500
Ni 0.248 0.752 0.255
Ni 0.881 0.629 0.622
Ni 0.367 0.120 0.871
Ni 0.500 0.500 0.500
Ni 0.629 0.881 0.378
Ni 0.752 0.248 0.745
Ni 0.119 0.371 0.622
Ni 0.371 0.119 0.622
Ni 0.367 0.120 0.129
Ni 0.880 0.633 0.871
Ni 0.752 0.248 0.255
Ni 0.881 0.629 0.378
Ni 0.880 0.633 0.129
Ni 0.248 0.752 0.745
Ni 0.120 0.367 0.871
Ni 0.629 0.881 0.622
Si 0.741 0.259 0.500
Si 0.259 0.741 0.500
Si 0.000 0.000 0.743
Si 0.000 0.000 0.257
Ta 0.500 0.500 0.745
Ta 0.500 0.500 0.255
Ta 0.743 0.257 0.000
Ta 0.257 0.743 0.000

## Properties
The value obtained for the calculated volume is 357.1 Å³/cell. For the theoretical density, the calculation gives 10.439 g cm⁻³. The value obtained for the total DFT energy (no corrections) is -706.1 eV for the cell shown.

What did the fourth record say?
The following is a SCAN calculation of a crystal of La2SbF2 relaxed with PBEsol, from Alexandria via LeMat-Bulk.

Lattice parameters (Å, degrees): 3.982 3.982 7.262 105.91 105.91 90.00
Element x y z (fractional)
F 0.250 0.750 0.500
F 0.750 0.250 0.500
La 0.632 0.632 0.264
La 0.368 0.368 0.736
Sb 0.000 0.000 0.000

## Properties
The value obtained for the calculated volume is 106.1 Å³/cell. For the theoretical density, the calculation gives 6.847 g cm⁻³. The value obtained for the total DFT energy (no corrections) is -145.1 eV for the cell shown.

What is the formula in the fifth record? NaZnAs

Look up the theoretical density of the third one. 10.439 g cm⁻³

What is the formula in the seventh record? MoIr3O